1.
Ba2InNi | the Alexandria database | PBE | relaxed; M_tot = 0.00 μB/f.u.; crystal system = tetragonal; formation energy from the elements = -0.0326 eV/atom
1.0
3.8434 0.0000 0.0000
0.0000 3.8434 0.0000
0.0000 0.0000 8.9657
Ba In Ni
2 1 1
direct
0.0000 0.0000 0.2095
0.0000 0.0000 0.7905
0.5000 0.5000 0.5000
0.5000 0.5000 0.0000

---

2.
BaInNi2 | the Alexandria database | PBE | relaxed; M_tot = 0.01 μB/f.u.; crystal system = trigonal; formation energy from the elements = -0.1126 eV/atom
1.0
2.1129 1.2199 6.2216
-2.1129 1.2199 6.2216
0.0000 -2.4397 6.2216
Ba In Ni
1 1 2
direct
0.0000 0.0000 0.0000
0.1871 0.1871 0.1871
0.4599 0.4599 0.4599
0.7894 0.7894 0.7894

---

3.
Ba2In4Ni | the Alexandria database | PBE | relaxed; M_tot = 0.00 μB/f.u.; crystal system = tetragonal; formation energy from the elements = -0.2755 eV/atom
1.0
-2.5153 2.5153 9.1370
2.5153 -2.5153 9.1370
2.5153 2.5153 -9.1370
Ba In Ni
2 4 1
direct
0.1599 0.1599 0.0000
0.8401 0.8401 0.0000
0.0000 0.5000 0.5000
0.3603 0.3603 0.0000
0.5000 0.0000 0.5000
0.6397 0.6397 0.0000
0.5000 0.5000 0.0000

---

4.
BaIn2Ni2 | the Alexandria database | PBE | relaxed; M_tot = 0.00 μB/f.u.; crystal system = tetragonal; formation energy from the elements = -0.1575 eV/atom
1.0
-2.3832 2.3832 5.2470
2.3832 -2.3832 5.2470
2.3832 2.3832 -5.2470
Ba In Ni
1 2 2
direct
0.0000 0.0000 0.0000
0.3485 0.3485 0.0000
0.6515 0.6515 0.0000
0.2500 0.7500 0.5000
0.7500 0.2500 0.5000

---

5.
BaInNi2 | the Alexandria database | PBE | relaxed; M_tot = 0.00 μB/f.u.; crystal system = orthorhombic; formation energy from the elements = 0.2559 eV/atom
1.0
-1.6248 2.5500 5.2095
1.6248 -2.5500 5.2095
1.6248 2.5500 -5.2095
Ba In Ni
1 1 2
direct
0.0000 0.0000 0.0000
0.2955 0.7955 0.5000
0.5195 0.5195 0.0000
0.6990 0.1990 0.5000

---

6.
BaInNi2 | the Alexandria database | PBE | relaxed; M_tot = 0.00 μB/f.u.; crystal system = tetragonal; formation energy from the elements = 0.0827 eV/atom
1.0
-2.4911 2.4911 8.6896
2.4911 -2.4911 8.6896
2.4911 2.4911 -8.6896
Ba In Ni
2 2 4
direct
0.3750 0.6250 0.7500
0.6250 0.3750 0.2500
0.1250 0.8750 0.2500
0.8750 0.1250 0.7500
0.0000 0.0000 0.0000
0.0000 0.0000 0.5000
0.0000 0.5000 0.0000
0.5000 0.0000 0.5000

---

7.
Ba2InNi | the Alexandria database | PBE | relaxed; M_tot = 0.00 μB/f.u.; crystal system = monoclinic; formation energy from the elements = -0.1684 eV/atom
1.0
4.0524 -2.3093 0.0000
4.0524 2.3093 0.0000
-2.6303 0.0000 8.6636
Ba In Ni
2 1 1
direct
0.0000 0.0000 0.0000
0.1652 0.1652 0.5080
0.4137 0.4137 0.2542
0.7455 0.7455 0.2543

---

8.
BaIn6Ni | the Alexandria database | PBE | relaxed; M_tot = 0.00 μB/f.u.; crystal system = tetragonal; formation energy from the elements = -0.2213 eV/atom
1.0
4.7909 0.0000 0.0000
0.0000 4.7909 0.0000
0.0000 0.0000 9.3034
Ba In Ni
1 6 1
direct
0.0000 0.0000 0.0000
0.0000 0.5000 0.3430
0.0000 0.5000 0.6570
0.5000 0.0000 0.3430
0.5000 0.0000 0.6570
0.5000 0.5000 0.1520
0.5000 0.5000 0.8480
0.0000 0.0000 0.5000

---

9.
BaInNi2 | the Alexandria database | PBE | relaxed; M_tot = 0.36 μB/f.u.; crystal system = tetragonal; formation energy from the elements = 0.1499 eV/atom
1.0
3.3528 0.0000 0.0000
0.0000 3.3528 0.0000
0.0000 0.0000 7.5799
Ba In Ni
1 1 2
direct
0.0000 0.0000 0.0000
0.5000 0.5000 0.3734
0.0000 0.0000 0.5913
0.5000 0.5000 0.7080

---

10.
Ba2InNi | the Alexandria database | PBE | relaxed; M_tot = 0.00 μB/f.u.; crystal system = orthorhombic; formation energy from the elements = -0.1220 eV/atom
1.0
4.7683 0.0000 0.0000
0.0000 2.4657 6.2711
0.0000 -2.4657 6.2711
Ba In Ni
2 1 1
direct
0.0000 0.0000 0.0000
0.5000 0.2812 0.2812
0.0000 0.6960 0.6960
0.5000 0.6057 0.6057

---

11.
Ba2InNi | the Alexandria database | PBE | relaxed; M_tot = 0.00 μB/f.u.; crystal system = cubic; formation energy from the elements = 0.1292 eV/atom
1.0
0.0000 3.9013 3.9013
3.9013 0.0000 3.9013
3.9013 3.9013 0.0000
Ba In Ni
2 1 1
direct
0.0000 0.0000 0.0000
0.2500 0.2500 0.2500
0.5000 0.5000 0.5000
0.7500 0.7500 0.7500

---

12.
Ba8In2Ni | the Alexandria database | PBE | relaxed; M_tot = 0.34 μB/f.u.; crystal system = monoclinic; formation energy from the elements = -0.1194 eV/atom
1.0
12.9675 -2.2908 0.0000
12.9675 2.2908 0.0000
-0.8067 0.0000 9.4411
Ba In Ni
8 2 1
direct
0.0113 0.0113 0.2177
0.2351 0.2351 0.7046
0.3776 0.3776 0.9853
0.4011 0.4011 0.4673
0.5989 0.5989 0.5327
0.6224 0.6224 0.0147
0.7649 0.7649 0.2954
0.9887 0.9887 0.7823
0.1594 0.1594 0.3078
0.8406 0.8406 0.6922
0.5000 0.5000 0.0000

---

Number 1 is which compound?
Ba2InNi